# 1
A geometry-optimized NiPtCl3 structure. Source: Alexandria, functional GGA-PBE.

Values from the calculation:
Total magnetization ... 1.1 μB/f.u.
Energy ... -15.36 eV per cell
Raw formation energy ... 0.401 eV per atom

a b c (Å): 4.8723 4.8723 4.8723
angles (deg): 90.00 90.00 90.00
Last column: nearest neighbours and their distance in Å.
Space group Pm-3m (No. 221)
Symmetry-distinct sites (fractional):
Ni (0.0000, 0.0000, 0.0000)  12 Cl 3.45
Pt (0.5000, 0.5000, 0.5000)  6 Cl 2.44
Cl (0.0000, 0.5000, 0.5000)  2 Pt 2.44

***

# 2
A geometry-optimized Ni2PtCl structure. Source: Alexandria, functional GGA-PBE.

Values from the calculation:
Total magnetization ... 1.3 μB/f.u.
Energy ... -17.13 eV per cell
Raw formation energy ... 0.580 eV per atom

a b c (Å): 2.7653 4.3091 4.7883
angles (deg): 90.00 90.00 90.00
Last column: nearest neighbours and their distance in Å.
Space group Pmmm (No. 47)
Symmetry-distinct sites (fractional):
Ni (0.0000, 0.0000, 0.0000)  4 Cl 2.56, 6 Ni 2.76-2.77
Ni (0.5000, 0.0000, 0.5000)  4 Pt 2.56, 6 Ni 2.76-2.77
Pt (0.0000, 0.5000, 0.5000)  4 Ni 2.56, 4 Cl 2.76, 2 Pt 2.77
Cl (0.5000, 0.5000, 0.0000)  4 Ni 2.56, 4 Pt 2.76, 2 Cl 2.77

***

# 3
A geometry-optimized NiPt2Cl structure. Source: Alexandria, functional GGA-PBE.

Values from the calculation:
Total magnetization ... 1.2 μB/f.u.
Energy ... -17.25 eV per cell
Raw formation energy ... 0.615 eV per atom

a b c (Å): 4.6598 4.6598 2.7999
angles (deg): 90.00 90.00 90.00
Last column: nearest neighbours and their distance in Å.
Space group P4/mmm (No. 123)
Symmetry-distinct sites (fractional):
Ni (0.0000, 0.0000, 0.0000)  8 Pt 2.72, 2 Ni 2.80
Pt (0.0000, 0.5000, 0.5000)  4 Cl 2.72, 4 Ni 2.72, 2 Pt 2.80
Cl (0.5000, 0.5000, 0.0000)  8 Pt 2.72, 2 Cl 2.80

***

# 4
A geometry-optimized Ni2PtCl structure. Source: Alexandria, functional GGA-PBE.

Values from the calculation:
Total magnetization ... 0.9 μB/f.u.
Energy ... -18.80 eV per cell
Raw formation energy ... 0.163 eV per atom

a b c (Å): 2.8459 4.4617 4.4614
angles (deg): 90.00 90.02 90.00
Last column: nearest neighbours and their distance in Å.
Space group Pm (No. 6)
Symmetry-distinct sites (fractional):
Ni (0.0000, 0.0000, 0.0000)  2 Cl 2.24-2.25
Ni (0.9997, 0.5000, 0.4974)  2 Cl 2.25
Pt (0.4980, 0.5000, 0.9977)  8 Ni 2.64-2.65, 2 Pt 2.85
Cl (0.9089, 0.0000, 0.4997)  4 Ni 2.24-2.25

***

# 5
A geometry-optimized NiPt2Cl structure. Source: Alexandria, functional GGA-PBE.

Values from the calculation:
Total magnetization ... 0.0 μB/f.u.
Energy ... -57.39 eV per cell
Raw formation energy ... 0.145 eV per atom

a b c (Å): 2.9192 2.9192 25.7552
angles (deg): 90.00 90.00 120.00
Last column: nearest neighbours and their distance in Å.
Space group R3m (No. 160, hexagonal axes)
Symmetry-distinct sites (fractional):
Ni (0.0000, 0.0000, 0.0000)  3 Cl 2.28, 3 Pt 2.53
Pt (0.0000, 0.0000, 0.2601)  3 Ni 2.53, 3 Pt 2.80
Pt (0.0000, 0.0000, 0.5067)  9 Pt 2.80-2.92
Cl (0.0000, 0.0000, 0.7263)  3 Ni 2.28

***

# 6
A geometry-optimized Ni2PtCl structure. Source: Alexandria, functional GGA-PBE.

Values from the calculation:
Total magnetization ... 1.4 μB/f.u.
Energy ... -38.52 eV per cell
Raw formation energy ... 0.048 eV per atom

a b c (Å): 12.7988 3.2225 3.0714
angles (deg): 90.00 90.18 90.00
Last column: nearest neighbours and their distance in Å.
Space group Cm (No. 8)
Symmetry-distinct sites (fractional):
Ni (0.0000, 0.0000, 0.0000)  1 Cl 2.19
Ni (0.2002, 0.0000, 0.0026)  2 Cl 2.30, 1 Ni 2.56
Pt (0.0944, 0.5000, 0.5014)  8 Ni 2.53-2.61
Cl (0.3286, 0.5000, 0.0061)  3 Ni 2.19-2.30

***

# 7
A geometry-optimized Ni2PtCl structure. Source: Alexandria, functional GGA-PBE.

Values from the calculation:
Total magnetization ... 1.9 μB/f.u.
Energy ... -56.48 eV per cell
Raw formation energy ... 0.156 eV per atom

a b c (Å): 2.9181 2.9181 22.7123
angles (deg): 90.00 90.00 120.00
Last column: nearest neighbours and their distance in Å.
Space group R-3m (No. 166, hexagonal axes)
Symmetry-distinct sites (fractional):
Ni (0.0000, 0.0000, 0.2460)  3 Cl 2.47, 3 Pt 2.60
Pt (0.0000, 0.0000, 0.0000)  6 Ni 2.60
Cl (0.0000, 0.0000, 0.5000)  6 Ni 2.47

***

# 8
A geometry-optimized Ni2PtCl structure. Source: Alexandria, functional GGA-PBE.

Values from the calculation:
Total magnetization ... 1.6 μB/f.u.
Energy ... -36.35 eV per cell
Raw formation energy ... 0.318 eV per atom

a b c (Å): 2.7883 4.7389 9.2725
angles (deg): 90.00 90.00 90.00
Last column: nearest neighbours and their distance in Å.
Space group Cmm2 (No. 35)
Symmetry-distinct sites (fractional):
Ni (0.0000, 0.0000, 0.0000)  2 Ni 2.38, 2 Pt 2.57
Ni (0.0000, 0.5000, 0.2086)  2 Cl 2.27, 2 Ni 2.38
Pt (0.0000, 0.5000, 0.7668)  2 Ni 2.57, 6 Pt 2.75-2.79
Cl (0.0000, 0.0000, 0.4024)  2 Ni 2.27

***

# 9
A geometry-optimized Ni2PtCl structure. Source: Alexandria, functional GGA-PBE.

Values from the calculation:
Total magnetization ... 0.4 μB/f.u.
Energy ... -55.69 eV per cell
Raw formation energy ... 0.222 eV per atom

a b c (Å): 2.8657 2.8657 25.2800
angles (deg): 90.00 90.00 120.00
Last column: nearest neighbours and their distance in Å.
Space group R3m (No. 160, hexagonal axes)
Symmetry-distinct sites (fractional):
Ni (0.0000, 0.0000, 0.0000)  3 Ni 2.39, 3 Pt 2.60
Ni (0.0000, 0.0000, 0.2653)  3 Cl 2.29, 3 Ni 2.39
Pt (0.0000, 0.0000, 0.7459)  3 Ni 2.60, 6 Pt 2.87
Cl (0.0000, 0.0000, 0.5361)  3 Ni 2.29

***

# 10
A geometry-optimized NiPt2Cl structure. Source: Alexandria, functional GGA-PBE.

Values from the calculation:
Total magnetization ... 1.3 μB/f.u.
Energy ... -36.69 eV per cell
Raw formation energy ... 0.341 eV per atom

a b c (Å): 12.1690 2.7824 4.0826
angles (deg): 90.00 109.08 90.00
Last column: nearest neighbours and their distance in Å.
Space group C2/m (No. 12)
Symmetry-distinct sites (fractional):
Ni (0.0000, 0.0000, 0.0000)  4 Cl 2.47, 4 Pt 2.73
Pt (0.2047, 0.5000, 0.2056)  6 Pt 2.68-2.78, 2 Ni 2.73
Cl (0.0000, 0.5000, 0.5000)  4 Ni 2.47

***

# 11
A geometry-optimized NiPt2Cl structure. Source: Alexandria, functional GGA-PBE.

Values from the calculation:
Total magnetization ... 1.2 μB/f.u.
Energy ... -34.65 eV per cell
Raw formation energy ... 0.596 eV per atom

a b c (Å): 5.6178 7.7787 2.7870
angles (deg): 90.00 90.00 90.00
Last column: nearest neighbours and their distance in Å.
Space group Cmmm (No. 65)
Symmetry-distinct sites (fractional):
Ni (0.0000, 0.0000, 0.0000)  8 Pt 2.77, 2 Ni 2.79, 2 Cl 2.81
Pt (0.2500, 0.2500, 0.5000)  4 Cl 2.77, 4 Ni 2.77, 4 Pt 2.79-2.81
Cl (0.0000, 0.5000, 0.0000)  8 Pt 2.77, 2 Cl 2.79, 2 Ni 2.81

***

# 12
A geometry-optimized NiPt2Cl structure. Source: Alexandria, functional GGA-PBE.

Values from the calculation:
Total magnetization ... 1.6 μB/f.u.
Energy ... -36.88 eV per cell
Raw formation energy ... 0.317 eV per atom

a b c (Å): 2.7334 4.6683 10.6419
angles (deg): 90.00 90.00 90.00
Last column: nearest neighbours and their distance in Å.
Space group Cmmm (No. 65)
Symmetry-distinct sites (fractional):
Ni (0.0000, 0.0000, 0.0000)  4 Pt 2.55, 6 Ni 2.70-2.73
Pt (0.0000, 0.5000, 0.2027)  2 Ni 2.55, 6 Pt 2.70-2.73
Cl (0.0000, 0.0000, 0.5000)  6 Cl 2.70-2.73